Material: Y2AlRu
Method: DFT, PBE
State: relaxed

Cell and atoms, written as extended XYZ:
```
4
Lattice="-3.385 0.724 0.542 -0.294 -2.867 1.993 1.737 3.818 5.747" Properties=species:S:1:pos:R:3 pbc="T T T"
Ru -0.537 1.792 5.578
Al -1.405 -0.117 2.704
Y 0.902 1.982 2.983
Y 1.704 3.745 5.638
```

Material: YAlRu2
Method: DFT, PBE
State: relaxed

Cell and atoms, written as extended XYZ:
```
4
Lattice="4.479 0.000 0.000 0.000 4.479 0.000 0.000 0.000 3.333" Properties=species:S:1:pos:R:3 pbc="T T T"
Ru 2.239 2.239 0.000
Ru 0.000 0.000 0.000
Y 2.239 0.000 1.667
Al 0.000 2.239 1.667
```

Material: YAl2Ru
Method: DFT, PBE
State: relaxed

Cell and atoms, written as extended XYZ:
```
4
Lattice="3.818 -1.755 -0.405 -1.609 6.786 -0.652 0.877 -4.036 3.797" Properties=species:S:1:pos:R:3 pbc="T T T"
Al 2.866 0.835 1.387
Al 0.219 0.160 1.353
Y 1.104 2.516 -0.528
Ru 1.909 -0.878 -0.203
```

Material: Y2Al2Ru
Method: DFT, PBE
State: relaxed

Cell and atoms, written as extended XYZ:
```
10
Lattice="6.865 0.000 0.000 0.000 6.865 0.000 0.000 0.000 4.521" Properties=species:S:1:pos:R:3 pbc="T T T"
Al 0.931 2.501 0.000
Al 5.933 4.364 0.000
Al 2.501 5.933 0.000
Al 4.364 0.931 0.000
Y 1.211 4.643 2.261
Y 2.222 1.211 2.261
Y 5.654 2.222 2.261
Y 4.643 5.654 2.261
Ru 3.432 3.432 0.000
Ru 0.000 0.000 0.000
```

Material: YAlRu2
Method: DFT, PBE
State: relaxed

Cell and atoms, written as extended XYZ:
```
8
Lattice="-1.410 1.594 3.746 -1.054 -3.972 1.293 6.759 -2.192 5.954" Properties=species:S:1:pos:R:3 pbc="T T T"
Al -1.232 -1.189 2.520
Al 2.236 -3.677 4.883
Ru 3.025 -3.303 8.738
Ru 0.705 -2.662 3.163
Ru 4.033 -2.958 6.493
Ru 0.827 -0.218 3.593
Y 0.000 0.000 0.000
Y 2.058 -0.894 6.110
```

Material: YAl2Ru2
Method: DFT, PBE
State: relaxed

Cell and atoms, written as extended XYZ:
```
10
Lattice="-6.732 1.076 -2.761 0.421 -6.436 -3.536 -1.217 -1.408 2.418" Properties=species:S:1:pos:R:3 pbc="T T T"
Al -0.686 -2.276 -1.671
Al -4.157 -0.134 -2.170
Al -5.625 -3.083 -4.626
Al -2.154 -5.226 -4.127
Y -3.155 -2.680 -3.148
Y 0.000 0.000 0.000
Ru -4.743 -5.352 -3.578
Ru -2.784 -1.416 -0.300
Ru -1.448 -4.814 -1.607
Ru -6.080 -1.954 -2.272
```

We obtain E values of -6.895 -7.515 -6.328 -6.263 -7.057 -7.022 eV per atom for the records listed above, in that order.
We obtain energy relative to the elements values of -0.408 -0.326 -0.522 -0.325 0.133 -0.522 eV per atom for the records listed above, in that order.
We obtain size of the total moment values of 0.0 0.0 0.0 0.0 0.0 0.0 μB/f.u. for the records listed above, in that order.